A plane-wave DFT calculation with PBE was carried out for an optimized crystal structure of Er3Ru2.

Polymorph energy (0 for the lowest one) = 317 kJ/mol of formula units
SG = Ia-3d, No. 230
E_form = 0.345 eV/atom

Cell lengths 8.224, 8.224, 8.224 Å; angles 109.47, 109.47, 109.47 degrees
Atoms (fractional coordinates):
Er (0.250, 0.125, 0.875)
Er (0.750, 0.375, 0.625)
Er (0.125, 0.875, 0.250)
Er (0.375, 0.625, 0.750)
Er (0.875, 0.250, 0.125)
Er (0.625, 0.750, 0.375)
Er (0.250, 0.625, 0.375)
Er (0.750, 0.875, 0.125)
Er (0.625, 0.375, 0.250)
Er (0.875, 0.125, 0.750)
Er (0.375, 0.250, 0.625)
Er (0.125, 0.750, 0.875)
Ru (0.500, 0.000, 0.750)
Ru (0.000, 0.750, 0.500)
Ru (0.750, 0.500, 0.000)
Ru (0.750, 0.750, 0.750)
Ru (0.000, 0.250, 0.500)
Ru (0.500, 0.000, 0.250)
Ru (0.250, 0.500, 0.000)
Ru (0.250, 0.250, 0.250)

***

A plane-wave DFT calculation with PBE was carried out for an optimized crystal structure of CeThIrI.

SG = R3m, No. 160
Formation energy from raw total energies = -0.92 eV per atom

Cell lengths 4.189, 4.189, 8.526 Å; angles 90.00, 104.22, 120.00 degrees
Atoms (fractional coordinates):
Ce (0.514, 0.155, 0.684)
Th (0.090, 0.943, 0.048)
Ir (0.305, 0.551, 0.871)
I (0.969, 0.383, 0.367)

***

A plane-wave DFT calculation with PBE was carried out for an optimized crystal structure of Fe2PAu.

SG = P4mm, No. 99
E_form = 0.059 eV/atom

Cell lengths 2.849, 2.849, 6.979 Å; angles 90.00, 90.00, 90.00 degrees
Atoms (fractional coordinates):
Au (0.500, 0.500, 0.771)
Fe (0.000, 0.000, 0.040)
Fe (0.500, 0.500, 0.270)
P (0.000, 0.000, 0.420)

***

A plane-wave DFT calculation with PBE was carried out for an optimized crystal structure of Tc2MoRh.

Polymorph energy (0 for the lowest one) = 6 kJ/mol of formula units
SG = P4/mmm, No. 123
E_form = -0.050 eV/atom

Cell lengths 3.873, 3.874, 3.925 Å; angles 90.00, 90.00, 90.00 degrees
Atoms (fractional coordinates):
Mo (0.500, 0.000, 0.500)
Rh (0.000, 0.500, 0.500)
Tc (0.000, 0.000, 0.000)
Tc (0.500, 0.500, 0.000)